# 1
Material: KV12O30
Method: DFT, GGA-PBEsol
State: relaxed

Output
As for the volume: 1453.5 Å³/cell. The formation energy (no corrections) is -9107 kJ/mol of formula units.

Cell: 10.6027 10.6027 14.9303 Å, 90.00 90.00 120.00°
With the nearest neighbours (Å) after each atom.
Space group P6/mcc (No. 192)
One atom of each set of equivalent atoms:
K1 0.0000 0.0000 0.2500 (multiplicity 2)  12 O 3.16
V1 0.0999 0.3533 0.1180 (multiplicity 24)  2 O 1.58-1.77
O1 0.0760 0.2998 0.3403 (multiplicity 24)  2 V 1.78-1.79
O2 0.0945 0.3384 0.0000 (multiplicity 12)  2 V 1.77
O3 0.1455 0.5146 0.1462 (multiplicity 24)  1 V 1.58

=====

# 2
Material: KVO3
Method: DFT, GGA-PBEsol
State: relaxed

Output
As for the volume: 311.4 Å³/cell. The formation energy (no corrections) is -1124 kJ/mol of formula units.

Cell: 5.1595 10.6475 5.6680 Å, 90.00 90.00 90.00°
With the nearest neighbours (Å) after each atom.
Space group Pbcm (No. 57)
One atom of each set of equivalent atoms:
K1 0.0627 0.1044 0.2500 (multiplicity 4)  5 O 2.70-2.86
V1 0.4754 0.6606 0.7500 (multiplicity 4)  4 O 1.64-1.80
O1 0.1554 0.6489 0.7500 (multiplicity 4)  1 V 1.66
O2 0.3930 0.0202 0.7500 (multiplicity 4)  1 V 1.64
O3 0.4137 0.2500 0.0000 (multiplicity 4)  2 V 1.80

=====

# 3
Material: KV3O8
Method: DFT, GGA-PBEsol
State: relaxed

Output
As for the volume: 321.9 Å³/cell. The formation energy (no corrections) is -2691 kJ/mol of formula units.

Cell: 4.9918 8.4508 7.7318 Å, 90.00 99.27 90.00°
With the nearest neighbours (Å) after each atom.
Space group P2_1/m (No. 11)
One atom of each set of equivalent atoms:
K1 0.0312 0.2500 0.4435 (multiplicity 2)  6 O 2.71-3.03
V1 0.0729 0.2500 0.9288 (multiplicity 2)  1 O 1.60
V2 0.4509 0.5557 0.1861 (multiplicity 4)  2 O 1.60-1.75
O1 0.1057 0.7500 0.9166 (multiplicity 2)  1 V 1.60
O2 0.1270 0.6026 0.2297 (multiplicity 4)  2 V 1.75-1.91
O3 0.3191 0.0880 0.9960 (multiplicity 4)  3 V 1.86-1.97
O4 0.4007 0.2500 0.7417 (multiplicity 2)  2 V 1.85
O5 0.4108 0.5620 0.6626 (multiplicity 4)  1 V 1.60

=====

Please write out number 2 again, unchanged.
Material: KVO3
Method: DFT, GGA-PBEsol
State: relaxed

Output
As for the volume: 311.4 Å³/cell. The formation energy (no corrections) is -1124 kJ/mol of formula units.

Cell: 5.1595 10.6475 5.6680 Å, 90.00 90.00 90.00°
With the nearest neighbours (Å) after each atom.
Space group Pbcm (No. 57)
One atom of each set of equivalent atoms:
K1 0.0627 0.1044 0.2500 (multiplicity 4)  5 O 2.70-2.86
V1 0.4754 0.6606 0.7500 (multiplicity 4)  4 O 1.64-1.80
O1 0.1554 0.6489 0.7500 (multiplicity 4)  1 V 1.66
O2 0.3930 0.0202 0.7500 (multiplicity 4)  1 V 1.64
O3 0.4137 0.2500 0.0000 (multiplicity 4)  2 V 1.80

=====

> formation energy (no corrections) of number 2 (KVO3)?

-1124 kJ/mol of formula units

=====

> The lowest V belongs to which entry?

KVO3

=====

> Which of these has the lowest V?

KVO3